# GGA-PBE Na3NbCr3Se8, relaxed
# N(E_F) = 0.2169 states/eV/atom
# Uncorrected formation energy = -11.49 eV/f.u.
# Total moment = 24.1 μB per cell
data_Na3NbCr3Se8
_symmetry_space_group_name_H-M 'R -3 m'
_symmetry_Int_Tables_number 166
_symmetry_space_group_name_Hall '-R 3 2"'
_cell_length_a 7.3995
_cell_length_b 7.3995
_cell_length_c 21.1246
_cell_angle_alpha 90.00
_cell_angle_beta 90.00
_cell_angle_gamma 120.00
loop_
_atom_site_label
_atom_site_type_symbol
_atom_site_fract_x
_atom_site_fract_y
_atom_site_fract_z
Na1 Na 0.0000 0.5000 0.0000
Nb1 Nb 0.0000 0.0000 0.5000
Cr1 Cr 0.0000 0.5000 0.5000
Se1 Se 0.0000 0.0000 0.2326
Se2 Se 0.0115 0.5057 0.7639

# GGA-PBE Na3NbCr2Se6, relaxed
# N(E_F) = 0.5263 states/eV/atom
# Uncorrected formation energy = -9.47 eV/f.u.
# Total moment = 7.9 μB per cell
data_Na3NbCr2Se6
_symmetry_space_group_name_H-M 'C 1 2/m 1'
_symmetry_Int_Tables_number 12
_cell_length_a 6.503
_cell_length_b 11.256
_cell_length_c 7.321
_cell_angle_alpha 90.00
_cell_angle_beta 107.27
_cell_angle_gamma 90.00
loop_
_symmetry_equiv_pos_as_xyz
'x,y,z'
'-x,-y,-z'
'-x,y,-z'
'x,-y,z'
'x+1/2,y+1/2,z'
'-x+1/2,-y+1/2,-z'
'-x+1/2,y+1/2,-z'
'x+1/2,-y+1/2,z'
loop_
_atom_site_label
_atom_site_type_symbol
_atom_site_fract_x
_atom_site_fract_y
_atom_site_fract_z
Na1 Na 0.000 0.000 0.000
Na2 Na 0.000 0.337 0.000
Nb1 Nb 0.000 0.500 0.500
Cr1 Cr 0.000 0.167 0.500
Se1 Se 0.222 0.000 0.707
Se2 Se 0.243 0.326 0.707